(1)
Below is crystalline CeGdOs at its relaxed geometry, with properties calculated at the PBE level.

```
3
Lattice="4.759 0.000 0.000 -2.379 4.121 0.000 0.000 0.000 3.374" Properties=species:S:1:pos:R:3 pbc="T T T"
Ce 0.000 0.000 0.000
Gd 0.000 2.747 1.254
Os 2.379 1.374 2.379
```

Output
Total energy, eV/atom: -10.40
Crystal system: trigonal
Calculated density, g cm⁻³: 12.2
ΔE to the lowest computed polymorph, kJ/mol of formula units: 38
SG: P3m1

***

(2)
Below is crystalline CeTmTlHg at its relaxed geometry, with properties calculated at the PBE level.

```
16
Lattice="7.597 0.000 0.000 0.000 7.597 0.000 0.000 0.000 7.597" Properties=species:S:1:pos:R:3 pbc="T T T"
Ce 0.000 0.000 0.000
Ce 0.000 3.798 3.798
Ce 3.798 0.000 3.798
Ce 3.798 3.798 0.000
Tm 0.000 0.000 3.798
Tm 0.000 3.798 0.000
Tm 3.798 0.000 0.000
Tm 3.798 3.798 3.798
Tl 1.899 1.899 5.698
Tl 1.899 5.698 1.899
Tl 5.698 1.899 1.899
Tl 5.698 5.698 5.698
Hg 1.899 1.899 1.899
Hg 1.899 5.698 5.698
Hg 5.698 1.899 5.698
Hg 5.698 5.698 1.899
```

Output
Total energy, eV/atom: -3.58
Crystal system: cubic
Calculated density, g cm⁻³: 10.8
SG: F-43m

***

(3)
Below is crystalline ThCd9Pd2 at its relaxed geometry, with properties calculated at the PBE level.

```
24
Lattice="-5.855 5.855 3.751 5.855 -5.855 3.751 5.855 5.855 -3.751" Properties=species:S:1:pos:R:3 pbc="T T T"
Th 5.855 2.927 0.938
Th 0.000 2.927 2.813
Cd 5.855 -2.927 2.813
Cd 4.444 -0.604 1.330
Cd 7.266 -0.604 1.330
Cd 2.323 1.516 0.545
Cd 9.387 1.516 0.545
Cd 4.444 5.251 -1.330
Cd 1.411 -0.604 2.420
Cd 2.323 4.339 0.545
Cd 3.532 -1.516 4.296
Cd 2.323 7.371 -0.545
Cd 3.532 1.516 3.206
Cd 4.444 6.459 1.330
Cd 1.411 0.604 5.081
Cd -3.532 4.339 3.206
Cd 3.532 4.339 3.206
Cd -1.411 6.459 2.420
Cd 1.411 6.459 2.420
Cd 0.000 8.782 0.938
Pd 0.000 0.000 0.000
Pd 2.927 2.927 -1.875
Pd 2.927 -2.927 1.875
Pd 0.000 5.855 0.000
```

Output
Total energy, eV/atom: -2.37
Crystal system: tetragonal
Calculated density, g cm⁻³: 9.4
SG: I4_1/amd

***

(4)
Below is crystalline Tb3Tm7Sc at its relaxed geometry, with properties calculated at the PBE level.

```
11
Lattice="6.698 0.000 0.000 0.000 5.362 0.000 -2.383 0.000 9.464" Properties=species:S:1:pos:R:3 pbc="T T T"
Tb 0.000 0.000 0.000
Tb 0.664 2.681 4.527
Tb 3.650 2.681 4.937
Tm -1.192 0.000 4.732
Tm -0.754 2.681 7.424
Tm 1.813 2.681 1.170
Tm 2.336 0.000 3.092
Tm 1.978 0.000 6.371
Tm 2.501 2.681 8.294
Tm 5.068 2.681 2.039
Sc 3.349 0.000 0.000
```

Output
Total energy, eV/atom: -4.52
Crystal system: monoclinic
Calculated density, g cm⁻³: 8.3
ΔE to the lowest computed polymorph, kJ/mol of formula units: 0
SG: P2/m

***

(5)
Below is crystalline DyLuSc4 at its relaxed geometry, with properties calculated at the PBE level.

```
6
Lattice="0.000 4.391 4.391 4.391 0.000 4.391 4.391 4.391 0.000" Properties=species:S:1:pos:R:3 pbc="T T T"
Dy 0.000 0.000 0.000
Lu 2.196 2.196 2.196
Sc 5.487 3.295 3.295
Sc 3.295 5.487 3.295
Sc 3.295 3.295 5.487
Sc 5.487 5.487 5.487
```

Output
Total energy, eV/atom: -5.51
Crystal system: cubic
Calculated density, g cm⁻³: 5.1
SG: F-43m

***

(6)
Below is crystalline Na3Br2Cl at its relaxed geometry, with properties calculated at the PBE level.

```
24
Lattice="0.000 5.917 12.553 4.184 0.000 12.553 4.184 5.917 0.000" Properties=species:S:1:pos:R:3 pbc="T T T"
Na 3.100 1.416 7.268
Na 5.315 4.437 9.415
Na 3.176 1.416 11.561
Na 5.268 4.374 13.545
Na 7.407 7.396 15.691
Na 5.192 4.374 17.837
Na 3.176 7.459 7.268
Na 0.961 4.437 9.415
Na 3.100 7.459 11.561
Na 5.192 10.417 13.545
Na 3.053 7.396 15.691
Na 5.268 10.417 17.837
Br 3.138 4.437 3.134
Br 3.138 4.437 7.328
Br 5.230 7.396 9.410
Br 3.138 4.437 11.501
Br 5.230 7.396 13.605
Br 3.138 4.437 15.695
Br 5.230 7.396 17.777
Br 5.230 7.396 21.972
Cl 1.046 1.479 1.049
Cl 1.046 1.479 5.227
Cl 7.322 10.354 19.878
Cl 7.322 10.354 24.057
```

Output
Total energy, eV/atom: -3.16
Crystal system: orthorhombic
Calculated density, g cm⁻³: 2.8
SG: Fddd

***

(7)
Below is crystalline CoHBr2 at its relaxed geometry, with properties calculated at the PBE level.

```
16
Lattice="5.372 0.000 0.000 0.000 5.372 0.000 0.000 0.000 10.475" Properties=species:S:1:pos:R:3 pbc="T T T"
Co 0.000 0.000 0.000
Co 0.000 2.686 2.619
Co 2.686 0.000 7.856
Co 2.686 2.686 5.237
H 0.000 0.000 5.237
H 0.000 2.686 7.856
H 2.686 0.000 2.619
H 2.686 2.686 0.000
Br 1.202 1.343 6.547
Br 1.343 3.888 9.165
Br 1.343 4.170 3.928
Br 1.484 1.343 1.309
Br 3.888 4.029 1.309
Br 4.029 1.202 3.928
Br 4.029 1.484 9.165
Br 4.170 4.029 6.547
```

Output
Total energy, eV/atom: -3.17
Crystal system: tetragonal
Calculated density, g cm⁻³: 4.8
ΔE to the lowest computed polymorph, kJ/mol of formula units: 75
SG: I-42d

***

(8)
Below is crystalline DySiPt2 at its relaxed geometry, with properties calculated at the PBE level.

```
12
Lattice="4.203 0.000 0.000 -2.102 3.640 0.000 0.000 0.000 14.892" Properties=species:S:1:pos:R:3 pbc="T T T"
Dy 0.000 0.000 0.000
Dy 0.000 2.427 9.928
Dy 2.102 1.213 4.964
Si 0.000 0.000 7.446
Si 0.000 2.427 2.482
Si 2.102 1.213 12.410
Pt 0.000 0.000 3.145
Pt 0.000 0.000 11.746
Pt 0.000 2.427 6.782
Pt 0.000 2.427 13.073
Pt 2.102 1.213 1.819
Pt 2.102 1.213 8.109
```

Output
Total energy, eV/atom: -6.53
Crystal system: trigonal
Calculated density, g cm⁻³: 12.7
SG: R-3m

***

(9)
Below is crystalline Sc2PdPt at its relaxed geometry, with properties calculated at the PBE level.

```
16
Lattice="6.605 0.000 0.000 0.000 6.605 0.000 0.000 0.000 6.605" Properties=species:S:1:pos:R:3 pbc="T T T"
Sc 1.651 1.651 1.651
Sc 1.651 1.651 4.954
Sc 1.651 4.954 1.651
Sc 1.651 4.954 4.954
Sc 4.954 1.651 1.651
Sc 4.954 1.651 4.954
Sc 4.954 4.954 1.651
Sc 4.954 4.954 4.954
Pd 0.000 0.000 0.000
Pd 0.000 3.303 3.303
Pd 3.303 0.000 3.303
Pd 3.303 3.303 0.000
Pt 0.000 0.000 3.303
Pt 0.000 3.303 0.000
Pt 3.303 0.000 0.000
Pt 3.303 3.303 3.303
```

Output
Total energy, eV/atom: -7.06
Crystal system: cubic
Calculated density, g cm⁻³: 9.0
ΔE to the lowest computed polymorph, kJ/mol of formula units: 0
SG: Fm-3m

***

(10)
Below is crystalline AcPS4Cl at its relaxed geometry, with properties calculated at the PBE level.

```
14
Lattice="7.072 -4.599 0.000 7.072 4.599 0.000 -1.970 0.000 6.830" Properties=species:S:1:pos:R:3 pbc="T T T"
Ac 2.254 0.000 0.548
Ac 9.921 0.000 6.282
P 3.404 0.000 4.986
P 8.770 0.000 1.844
S 2.277 1.581 5.679
S 3.981 0.000 3.081
S 2.277 -1.581 5.679
S 5.339 0.000 5.803
S 6.836 0.000 1.027
S 9.898 1.581 1.151
S 8.193 0.000 3.749
S 9.898 -1.581 1.151
Cl -0.400 0.000 1.692
Cl 12.574 0.000 5.137
```

Output
Total energy, eV/atom: -5.03
Crystal system: monoclinic
Calculated density, g cm⁻³: 3.2
SG: C2/m